A) # PmTePb

A geometry-optimized PmTePb structure (PBE, OQMD).

Properties
size of the total moment	0.01	μB per formula unit
volume	102.62	Å³/cell

Geometry as POSCAR:
```
PmTePb
1.0
0.000 3.716 3.716
3.716 0.000 3.716
3.716 3.716 0.000
Pm Te Pb
1 1 1
Direct
0.000 0.000 0.000 Pm
0.750 0.750 0.750 Te
0.500 0.500 0.500 Pb
```


B) # PmTePb

A geometry-optimized PmTePb structure (PBE, OQMD).

Properties
size of the total moment	0.35	μB per formula unit
volume	106.25	Å³/cell

Geometry as POSCAR:
```
PmTePb
1.0
0.000 3.759 3.759
3.759 0.000 3.759
3.759 3.759 0.000
Pm Te Pb
1 1 1
Direct
0.000 0.000 0.000 Pm
0.250 0.250 0.250 Te
0.750 0.750 0.750 Pb
```


The relative energies come out as A) 0; B) 59, with values in meV/atom.


A) # PmPbW

A geometry-optimized PmPbW structure (PBE, OQMD).

Properties
size of the total moment	1.02	μB per formula unit
volume	82.99	Å³/cell

Geometry as POSCAR:
```
PmPbW
1.0
0.000 3.462 3.462
3.462 0.000 3.462
3.462 3.462 0.000
Pm Pb W
1 1 1
Direct
0.000 0.000 0.000 Pm
0.500 0.500 0.500 Pb
0.750 0.750 0.750 W
```


B) # PmPbW

A geometry-optimized PmPbW structure (PBE, OQMD).

Properties
size of the total moment	3.22	μB per formula unit
volume	91.89	Å³/cell

Geometry as POSCAR:
```
PmPbW
1.0
0.000 3.582 3.582
3.582 0.000 3.582
3.582 3.582 0.000
Pm Pb W
1 1 1
Direct
0.000 0.000 0.000 Pm
0.750 0.750 0.750 Pb
0.250 0.250 0.250 W
```


The relative energies come out as A) 0; B) 455, with values in meV/atom.


A) # PmZnPb

A geometry-optimized PmZnPb structure (PBE, OQMD).

Properties
size of the total moment	0.00	μB per formula unit
volume	80.82	Å³/cell

Geometry as POSCAR:
```
PmZnPb
1.0
0.000 3.432 3.432
3.432 0.000 3.432
3.432 3.432 0.000
Pm Zn Pb
1 1 1
Direct
0.000 0.000 0.000 Pm
0.750 0.750 0.750 Zn
0.500 0.500 0.500 Pb
```


B) # PmZnPb

A geometry-optimized PmZnPb structure (PBE, OQMD).

Properties
size of the total moment	0.00	μB per formula unit
volume	92.78	Å³/cell

Geometry as POSCAR:
```
PmZnPb
1.0
0.000 3.593 3.593
3.593 0.000 3.593
3.593 3.593 0.000
Pm Zn Pb
1 1 1
Direct
0.000 0.000 0.000 Pm
0.250 0.250 0.250 Zn
0.750 0.750 0.750 Pb
```


The relative energies come out as A) 0; B) 292, with values in meV/atom.


A) # PrSiPb

A geometry-optimized PrSiPb structure (PBE, OQMD).

Properties
size of the total moment	0.00	μB per formula unit
volume	94.49	Å³/cell

Geometry as POSCAR:
```
PrSiPb
1.0
0.000 3.615 3.615
3.615 0.000 3.615
3.615 3.615 0.000
Pr Si Pb
1 1 1
Direct
0.000 0.000 0.000 Pr
0.250 0.250 0.250 Si
0.750 0.750 0.750 Pb
```


B) # PrSiPb

A geometry-optimized PrSiPb structure (PBE, OQMD).

Properties
size of the total moment	0.00	μB per formula unit
volume	88.98	Å³/cell

Geometry as POSCAR:
```
PrSiPb
1.0
0.000 3.543 3.543
3.543 0.000 3.543
3.543 3.543 0.000
Pr Si Pb
1 1 1
Direct
0.000 0.000 0.000 Pr
0.750 0.750 0.750 Si
0.500 0.500 0.500 Pb
```


The relative energies come out as A) 292; B) 0, with values in meV/atom.


A) # PrTaPb

A geometry-optimized PrTaPb structure (PBE, OQMD).

Properties
size of the total moment	3.19	μB per formula unit
volume	98.11	Å³/cell

Geometry as POSCAR:
```
PrTaPb
1.0
0.000 3.661 3.661
3.661 0.000 3.661
3.661 3.661 0.000
Pr Ta Pb
1 1 1
Direct
0.000 0.000 0.000 Pr
0.250 0.250 0.250 Ta
0.750 0.750 0.750 Pb
```


B) # PrTaPb

A geometry-optimized PrTaPb structure (PBE, OQMD).

Properties
size of the total moment	1.13	μB per formula unit
volume	87.96	Å³/cell

Geometry as POSCAR:
```
PrTaPb
1.0
0.000 3.530 3.530
3.530 0.000 3.530
3.530 3.530 0.000
Pr Ta Pb
1 1 1
Direct
0.000 0.000 0.000 Pr
0.500 0.500 0.500 Ta
0.250 0.250 0.250 Pb
```


The relative energies come out as A) 491; B) 0, with values in meV/atom.


A) # PrTcPb

A geometry-optimized PrTcPb structure (PBE, OQMD).

Properties
size of the total moment	1.59	μB per formula unit
volume	87.55	Å³/cell

Geometry as POSCAR:
```
PrTcPb
1.0
0.000 3.524 3.524
3.524 0.000 3.524
3.524 3.524 0.000
Pr Tc Pb
1 1 1
Direct
0.000 0.000 0.000 Pr
0.250 0.250 0.250 Tc
0.750 0.750 0.750 Pb
```


B) # PrTcPb

A geometry-optimized PrTcPb structure (PBE, OQMD).

Properties
size of the total moment	0.43	μB per formula unit
volume	82.99	Å³/cell

Geometry as POSCAR:
```
PrTcPb
1.0
0.000 3.462 3.462
3.462 0.000 3.462
3.462 3.462 0.000
Pr Tc Pb
1 1 1
Direct
0.000 0.000 0.000 Pr
0.500 0.500 0.500 Tc
0.250 0.250 0.250 Pb
```


The relative energies come out as A) 444; B) 0, with values in meV/atom.


A) # PrPbW

A geometry-optimized PrPbW structure (PBE, OQMD).

Properties
size of the total moment	1.24	μB per formula unit
volume	84.41	Å³/cell

Geometry as POSCAR:
```
PrPbW
1.0
0.000 3.482 3.482
3.482 0.000 3.482
3.482 3.482 0.000
Pr Pb W
1 1 1
Direct
0.000 0.000 0.000 Pr
0.500 0.500 0.500 Pb
0.750 0.750 0.750 W
```


B) # PrPbW

A geometry-optimized PrPbW structure (PBE, OQMD).

Properties
size of the total moment	3.36	μB per formula unit
volume	95.20	Å³/cell

Geometry as POSCAR:
```
PrPbW
1.0
0.000 3.624 3.624
3.624 0.000 3.624
3.624 3.624 0.000
Pr Pb W
1 1 1
Direct
0.000 0.000 0.000 Pr
0.750 0.750 0.750 Pb
0.250 0.250 0.250 W
```


The relative energies come out as A) 0; B) 472, with values in meV/atom.


A) # Pt17Pb

A geometry-optimized Pt17Pb structure (PBE, OQMD).

Properties
size of the total moment	0.05	μB per formula unit
volume	902.46	Å³/cell

Geometry as POSCAR:
```
Pt17Pb
1.0
4.813 0.000 0.000
0.000 5.553 0.000
-0.047 0.000 33.765
Pt Pb
34 2
Direct
0.000 0.000 0.000 Pt
0.000 0.500 0.000 Pt
0.001 0.003 0.206 Pt
0.001 0.497 0.206 Pt
0.166 0.250 0.932 Pt
0.166 0.750 0.931 Pt
0.169 0.250 0.137 Pt
0.170 0.750 0.137 Pt
0.174 0.250 0.726 Pt
0.329 0.504 0.273 Pt
0.329 0.996 0.273 Pt
0.330 0.501 0.863 Pt
0.330 0.999 0.863 Pt
0.335 0.000 0.069 Pt
0.335 0.500 0.069 Pt
0.493 0.750 0.793 Pt
0.498 0.250 0.795 Pt
0.500 0.250 0.000 Pt
0.500 0.750 0.000 Pt
0.502 0.750 0.205 Pt
0.507 0.250 0.207 Pt
0.665 0.000 0.931 Pt
0.665 0.500 0.931 Pt
0.670 0.001 0.137 Pt
0.670 0.499 0.137 Pt
0.671 0.004 0.727 Pt
0.671 0.496 0.727 Pt
0.826 0.750 0.274 Pt
0.830 0.250 0.863 Pt
0.831 0.750 0.863 Pt
0.834 0.250 0.069 Pt
0.834 0.750 0.068 Pt
0.999 0.503 0.794 Pt
0.999 0.997 0.794 Pt
0.169 0.750 0.698 Pb
0.831 0.250 0.302 Pb
```


B) # Pt17Pb

A geometry-optimized Pt17Pb structure (PBE, OQMD).

Properties
size of the total moment	0.04	μB per formula unit
volume	900.63	Å³/cell

Geometry as POSCAR:
```
Pt17Pb
1.0
5.548 0.000 0.000
-2.774 4.804 0.000
0.000 0.000 33.791
Pt Pb
34 2
Direct
0.000 0.000 0.000 Pt
0.000 0.000 0.206 Pt
0.000 0.000 0.794 Pt
0.000 0.500 0.000 Pt
0.003 0.501 0.206 Pt
0.166 0.331 0.726 Pt
0.166 0.834 0.726 Pt
0.167 0.333 0.931 Pt
0.167 0.334 0.138 Pt
0.167 0.833 0.138 Pt
0.167 0.833 0.931 Pt
0.331 0.166 0.274 Pt
0.333 0.167 0.069 Pt
0.333 0.667 0.069 Pt
0.333 0.667 0.863 Pt
0.334 0.167 0.862 Pt
0.499 0.501 0.206 Pt
0.499 0.997 0.206 Pt
0.500 0.000 0.000 Pt
0.500 0.500 0.000 Pt
0.501 0.003 0.794 Pt
0.501 0.499 0.794 Pt
0.666 0.833 0.138 Pt
0.667 0.333 0.137 Pt
0.667 0.333 0.931 Pt
0.667 0.833 0.931 Pt
0.669 0.834 0.726 Pt
0.833 0.167 0.069 Pt
0.833 0.167 0.862 Pt
0.833 0.666 0.862 Pt
0.833 0.667 0.069 Pt
0.834 0.166 0.274 Pt
0.834 0.669 0.274 Pt
0.997 0.499 0.794 Pt
0.333 0.667 0.303 Pb
0.667 0.333 0.697 Pb
```


The relative energies come out as A) 11; B) 0, with values in meV/atom.


A) # RbRePb

A geometry-optimized RbRePb structure (PBE, OQMD).

Properties
size of the total moment	2.76	μB per formula unit
volume	95.49	Å³/cell

Geometry as POSCAR:
```
RbRePb
1.0
0.000 3.628 3.628
3.628 0.000 3.628
3.628 3.628 0.000
Rb Re Pb
1 1 1
Direct
0.000 0.000 0.000 Rb
0.750 0.750 0.750 Re
0.500 0.500 0.500 Pb
```


B) # RbRePb

A geometry-optimized RbRePb structure (PBE, OQMD).

Properties
size of the total moment	3.16	μB per formula unit
volume	109.94	Å³/cell

Geometry as POSCAR:
```
RbRePb
1.0
0.000 3.802 3.802
3.802 0.000 3.802
3.802 3.802 0.000
Rb Re Pb
1 1 1
Direct
0.000 0.000 0.000 Rb
0.250 0.250 0.250 Re
0.750 0.750 0.750 Pb
```


The relative energies come out as A) 0; B) 642, with values in meV/atom.


A) # RbTmPbS3

A geometry-optimized RbTmPbS3 structure (PBE, OQMD).

Properties
size of the total moment	0.01	μB per formula unit
volume	403.17	Å³/cell

Geometry as POSCAR:
```
RbTmPbS3
1.0
1.988 -8.818 0.000
1.988 8.818 0.000
0.000 0.000 11.499
Rb Tm Pb S
2 2 2 6
Direct
0.164 0.836 0.750 Rb
0.836 0.164 0.250 Rb
0.500 0.500 0.000 Tm
0.500 0.500 0.500 Tm
0.110 0.890 0.250 Pb
0.890 0.110 0.750 Pb
0.102 0.898 0.003 S
0.102 0.898 0.497 S
0.497 0.503 0.750 S
0.503 0.497 0.250 S
0.898 0.102 0.503 S
0.898 0.102 0.997 S
```


B) # RbTmPbS3

A geometry-optimized RbTmPbS3 structure (PBE, OQMD).

Properties
size of the total moment	0.00	μB per formula unit
volume	755.76	Å³/cell

Geometry as POSCAR:
```
RbTmPbS3
1.0
15.372 0.000 0.000
0.000 4.043 0.000
0.000 0.000 12.161
Rb Tm Pb S
4 4 4 12
Direct
0.234 0.250 0.099 Rb
0.266 0.750 0.599 Rb
0.734 0.250 0.401 Rb
0.766 0.750 0.901 Rb
0.002 0.750 0.637 Tm
0.498 0.250 0.137 Tm
0.502 0.750 0.863 Tm
0.998 0.250 0.363 Tm
0.044 0.250 0.895 Pb
0.456 0.750 0.395 Pb
0.544 0.250 0.605 Pb
0.956 0.750 0.105 Pb
0.084 0.750 0.248 S
0.094 0.250 0.544 S
0.130 0.750 0.800 S
0.370 0.250 0.300 S
0.406 0.750 0.044 S
0.416 0.250 0.748 S
0.584 0.750 0.252 S
0.594 0.250 0.956 S
0.630 0.750 0.700 S
0.870 0.250 0.200 S
0.906 0.750 0.456 S
0.916 0.250 0.752 S
```


The relative energies come out as A) 77; B) 0, with values in meV/atom.


A) # RbTmPbSe3

A geometry-optimized RbTmPbSe3 structure (PBE, OQMD).

Properties
size of the total moment	0.01	μB per formula unit
volume	419.33	Å³/cell

Geometry as POSCAR:
```
RbTmPbSe3
1.0
2.065 -8.466 0.000
2.065 8.466 0.000
0.000 0.000 11.992
Rb Tm Pb Se
2 2 2 6
Direct
0.185 0.815 0.750 Rb
0.815 0.185 0.250 Rb
0.500 0.500 0.000 Tm
0.500 0.500 0.500 Tm
0.109 0.891 0.250 Pb
0.891 0.109 0.750 Pb
0.113 0.887 0.003 Se
0.113 0.887 0.497 Se
0.494 0.506 0.250 Se
0.506 0.494 0.750 Se
0.887 0.113 0.503 Se
0.887 0.113 0.997 Se
```


B) # RbTmPbSe3

A geometry-optimized RbTmPbSe3 structure (PBE, OQMD).

Properties
size of the total moment	0.00	μB per formula unit
volume	819.66	Å³/cell

Geometry as POSCAR:
```
RbTmPbSe3
1.0
15.965 0.000 0.000
0.000 4.191 0.000
0.000 0.000 12.251
Rb Tm Pb Se
4 4 4 12
Direct
0.234 0.250 0.086 Rb
0.266 0.750 0.586 Rb
0.734 0.250 0.414 Rb
0.766 0.750 0.914 Rb
0.005 0.750 0.641 Tm
0.495 0.250 0.141 Tm
0.505 0.750 0.859 Tm
0.995 0.250 0.359 Tm
0.043 0.250 0.903 Pb
0.457 0.750 0.403 Pb
0.543 0.250 0.597 Pb
0.957 0.750 0.097 Pb
0.087 0.750 0.245 Se
0.098 0.250 0.542 Se
0.136 0.750 0.809 Se
0.364 0.250 0.309 Se
0.402 0.750 0.042 Se
0.413 0.250 0.745 Se
0.587 0.750 0.255 Se
0.598 0.250 0.958 Se
0.636 0.750 0.691 Se
0.864 0.250 0.191 Se
0.902 0.750 0.458 Se
0.913 0.250 0.755 Se
```


The relative energies come out as A) 90; B) 0, with values in meV/atom.